Density functional theory data (PBE) for crystalline RbCd4Au2 at its relaxed geometry.

Lattice parameters (Å, degrees): 4.6351 4.6545 8.7432 105.44 90.00 90.00
Fractional positions:
Au: 0.5000 0.5825 0.1651
Au: 0.5000 0.4175 0.8349
Cd: 0.0000 0.6852 0.3705
Cd: 0.0000 0.3148 0.6295
Cd: 0.5000 0.8159 0.6317
Cd: 0.5000 0.1841 0.3683
Rb: 0.0000 0.0000 0.0000

Values from the calculation:
Total magnetization (μB per formula unit): 0.00
Crystal system: orthorhombic
Offset from the most stable computed form (meV/atom): 65
Energy (eV/cell): -12.229

Density functional theory data (PBE) for crystalline AcCuPt at its relaxed geometry.

Lattice parameters (Å, degrees): 3.7040 3.7040 5.5973 109.32 109.32 90.00
Fractional positions:
Cu: 0.3133 0.3133 0.6266
Pt: 0.9270 0.9270 0.8541
Ac: 0.6097 0.6097 0.2193

Values from the calculation:
Total magnetization (μB per formula unit): 0.00
Crystal system: tetragonal
Offset from the most stable computed form (meV/atom): 337
Energy (eV/cell): -15.548